(i)
VASP calculation (PBE) on a relaxed structure of CrPb2W.

It has space group Pm (No. 6), with a = 3.2102 Å, b = 3.2123 Å, c = 8.6195 Å, α = 90.00°, β = 90.87° and γ = 90.00°. The inequivalent atoms are Cr at (0.0000, 0.0000, 0.0000), Pb at (0.5105, 0.5000, 0.2382), Pb at (0.9843, 0.0000, 0.6184) and W at (0.4959, 0.5000, 0.8722).

The value obtained for the volume is 22.22 Å³ per atom.

---

(ii)
VASP calculation (PBE) on a relaxed structure of CrPb2W.

It has space group Cmmm (No. 65), with a = 3.5676 Å, b = 5.2548 Å, c = 9.0267 Å, α = 90.00°, β = 90.00° and γ = 90.00°. The inequivalent atoms are Cr at (0.0000, 0.0000, 0.0000), Pb at (0.0000, 0.5000, 0.2472) and W at (0.0000, 0.0000, 0.5000).

The value obtained for the volume is 21.15 Å³ per atom.

---

(iii)
VASP calculation (PBE) on a relaxed structure of CrPb2W.

It has space group R3m (No. 160, hexagonal axes), with a = 3.1647 Å, b = 3.1647 Å, c = 31.6236 Å, α = 90.00°, β = 90.00° and γ = 120.00°. The inequivalent atoms are Cr at (0.0000, 0.0000, 0.0000), Pb at (0.0000, 0.0000, 0.2524), Pb at (0.0000, 0.0000, 0.4693) and W at (0.0000, 0.0000, 0.7163).

The value obtained for the volume is 22.86 Å³ per atom.

---

Stability summary: most stable (i), least stable (ii).

---

(i)
VASP calculation (PBE) on a relaxed structure of CrPb2W.

It has space group F-43m (No. 216), with a = 6.9896 Å, b = 6.9896 Å, c = 6.9896 Å, α = 90.00°, β = 90.00° and γ = 90.00°. The inequivalent atoms are Cr at (0.0000, 0.0000, 0.0000), Pb at (0.0000, 0.0000, 0.5000), Pb at (0.2500, 0.2500, 0.7500) and W at (0.2500, 0.2500, 0.2500).

The value obtained for the volume is 21.34 Å³ per atom.

---

(ii)
VASP calculation (PBE) on a relaxed structure of CrPb2W.

It has space group Immm (No. 71), with a = 3.8747 Å, b = 5.0678 Å, c = 8.4260 Å, α = 90.00°, β = 90.00° and γ = 90.00°. The inequivalent atoms are Cr at (0.0000, 0.0000, 0.0000), Pb at (0.0000, 0.5000, 0.2584) and W at (0.0000, 0.0000, 0.5000).

The value obtained for the volume is 20.68 Å³ per atom.

---

(iii)
VASP calculation (PBE) on a relaxed structure of CrPb2W.

It has space group Cmmm (No. 65), with a = 6.6969 Å, b = 6.7203 Å, c = 3.6136 Å, α = 90.00°, β = 90.00° and γ = 90.00°. The inequivalent atoms are Cr at (0.0000, 0.0000, 0.0000), Pb at (0.2500, 0.2500, 0.5000) and W at (0.0000, 0.5000, 0.0000).

The value obtained for the volume is 20.33 Å³ per atom.

---

Stability summary: most stable (iii), least stable (i).

---

(i)
VASP calculation (PBE) on a relaxed structure of CrPbW3.

It has space group Pm-3m (No. 221), with a = 4.9354 Å, b = 4.9354 Å, c = 4.9354 Å, α = 90.00°, β = 90.00° and γ = 90.00°. The inequivalent atoms are Cr at (0.0000, 0.0000, 0.0000), Pb at (0.5000, 0.5000, 0.5000) and W at (0.0000, 0.5000, 0.5000).

The value obtained for the volume is 24.04 Å³ per atom.

---

(ii)
VASP calculation (PBE) on a relaxed structure of CrPbW3.

It has space group Pm-3m (No. 221), with a = 4.5895 Å, b = 4.5895 Å, c = 4.5895 Å, α = 90.00°, β = 90.00° and γ = 90.00°. The inequivalent atoms are Cr at (0.0000, 0.0000, 0.0000), Pb at (0.5000, 0.5000, 0.5000) and W at (0.0000, 0.0000, 0.5000).

The value obtained for the volume is 19.33 Å³ per atom.

---

Stability summary: most stable (ii), least stable (i).

---

(i)
VASP calculation (PBE) on a relaxed structure of Zn2Cr2Pb.

It has space group P4/mbm (No. 127), with a = 7.5334 Å, b = 7.5334 Å, c = 3.1708 Å, α = 90.00°, β = 90.00° and γ = 90.00°. The inequivalent atoms are Zn at (0.1233, 0.3767, 0.0000), Cr at (0.1669, 0.6669, 0.5000) and Pb at (0.0000, 0.0000, 0.0000).

The value obtained for the volume is 17.99 Å³ per atom.

---

(ii)
VASP calculation (PBE) on a relaxed structure of Zn2Cr2Pb.

It has space group I4/mmm (No. 139), with a = 3.2304 Å, b = 3.2304 Å, c = 17.3618 Å, α = 90.00°, β = 90.00° and γ = 90.00°. The inequivalent atoms are Zn at (0.0000, 0.0000, 0.1271), Cr at (0.0000, 0.5000, 0.2500) and Pb at (0.0000, 0.0000, 0.5000).

The value obtained for the volume is 18.12 Å³ per atom.

---

Stability summary: most stable (i), least stable (ii).